No. 1
Density functional theory data (PBE) for a relaxed Rb3Tl2Sn7 crystal.

Properties
DFT formation energy, meV per atom: -108
VASP energy, eV per atom: -3.079

Cell: 6.8148 6.8148 10.8484 Å, 71.69 71.69 60.00°
Last column: nearest neighbours and their distance in Å.
Fractional positions:
Sn  0.5960  0.0619  0.7461  2 Tl 3.13-3.36, 3 Sn 3.18-3.26
Rb  0.0000  0.0000  0.0000  6 Tl 3.94, 2 Rb 4.22, 12 Sn 4.27
Sn  0.5000  0.5000  0.5000  6 Sn 3.26
Sn  0.9381  0.4040  0.2539  2 Tl 3.13-3.36, 3 Sn 3.18-3.26
Sn  0.4040  0.4040  0.2539  2 Tl 3.13-3.36, 3 Sn 3.18-3.26
Rb  0.8609  0.8609  0.4172  12 Sn 3.79-4.02, 1 Rb 4.22
Sn  0.0619  0.5960  0.7461  2 Tl 3.13-3.36, 3 Sn 3.18-3.26
Rb  0.1391  0.1391  0.5828  12 Sn 3.79-4.02, 1 Rb 4.22
Sn  0.5960  0.5960  0.7461  2 Tl 3.13-3.36, 3 Sn 3.18-3.26
Tl  0.3414  0.3414  0.9757  6 Sn 3.13-3.36
Sn  0.4040  0.9381  0.2539  2 Tl 3.13-3.36, 3 Sn 3.18-3.26
Tl  0.6586  0.6586  0.0243  6 Sn 3.13-3.36



No. 2
Density functional theory data (PBE) for a relaxed Rb4Tl4Sn crystal.

Properties
DFT formation energy, meV per atom: -18
VASP energy, eV per atom: -1.944

Cell: 6.9153 10.1138 6.9153 Å, 70.01 90.00 109.99°
Last column: nearest neighbours and their distance in Å.
Fractional positions:
Rb  0.3998  0.3255  0.6002  1 Sn 3.70, 3 Tl 3.77-3.92
Tl  0.3499  0.1126  0.2373  1 Sn 3.04
Rb  0.0743  0.6745  0.3998  1 Sn 3.70, 3 Tl 3.77-3.92
Rb  0.6002  0.6745  0.9257  1 Sn 3.70, 3 Tl 3.77-3.92
Tl  0.7627  0.1126  0.6501  1 Sn 3.04
Rb  0.9257  0.3255  0.0743  1 Sn 3.70, 3 Tl 3.77-3.92
Sn  0.0000  0.0000  0.0000  4 Tl 3.04
Tl  0.2373  0.8874  0.7627  1 Sn 3.04
Tl  0.6501  0.8874  0.3499  1 Sn 3.04



No. 3
Density functional theory data (PBE) for a relaxed Rb2Tl10Sn crystal.

Properties
DFT formation energy, meV per atom: 36
VASP energy, eV per atom: -2.241

Cell: 7.2667 13.0342 11.5769 Å, 90.00 90.00 90.00°
Last column: nearest neighbours and their distance in Å.
Fractional positions:
Tl  0.7334  0.3179  0.5672  1 Sn 3.16, 4 Tl 3.24-3.52
Rb  0.5000  0.8864  0.6430  8 Tl 3.86-4.19
Tl  0.0000  0.6204  0.9635  7 Tl 3.24-3.50
Tl  0.2666  0.8179  0.9328  1 Sn 3.16, 4 Tl 3.24-3.52
Rb  0.5000  0.1136  0.3570  8 Tl 3.86-4.19
Tl  0.0000  0.3796  0.0365  7 Tl 3.24-3.50
Tl  0.2666  0.6821  0.4328  1 Sn 3.16, 4 Tl 3.24-3.52
Tl  0.0000  0.8796  0.4635  7 Tl 3.24-3.50
Tl  0.0000  0.0542  0.2622  1 Sn 3.12, 6 Tl 3.26-3.41
Tl  0.0000  0.4458  0.7622  1 Sn 3.12, 6 Tl 3.26-3.41
Tl  0.0000  0.1982  0.8139  6 Tl 3.28-3.52, 1 Sn 3.36
Tl  0.7334  0.8179  0.9328  1 Sn 3.16, 4 Tl 3.24-3.52
Tl  0.2666  0.3179  0.5672  1 Sn 3.16, 4 Tl 3.24-3.52
Tl  0.0000  0.1204  0.5365  7 Tl 3.24-3.50
Tl  0.2666  0.1821  0.0672  1 Sn 3.16, 4 Tl 3.24-3.52
Tl  0.7334  0.1821  0.0672  1 Sn 3.16, 4 Tl 3.24-3.52
Tl  0.0000  0.3018  0.3139  6 Tl 3.28-3.52, 1 Sn 3.36
Tl  0.0000  0.5542  0.2378  1 Sn 3.12, 6 Tl 3.26-3.41
Tl  0.0000  0.8018  0.1861  6 Tl 3.28-3.52, 1 Sn 3.36
Tl  0.0000  0.6982  0.6861  6 Tl 3.28-3.52, 1 Sn 3.36
Tl  0.0000  0.9458  0.7378  1 Sn 3.12, 6 Tl 3.26-3.41
Sn  0.0000  0.5000  0.5000  8 Tl 3.12-3.36
Rb  0.5000  0.3864  0.8570  8 Tl 3.86-4.19
Rb  0.5000  0.6136  0.1430  8 Tl 3.86-4.19
Tl  0.7334  0.6821  0.4328  1 Sn 3.16, 4 Tl 3.24-3.52
Sn  0.0000  0.0000  0.0000  8 Tl 3.12-3.36



No. 4
Density functional theory data (PBE) for a relaxed Rb3TlSn crystal.

Properties
Energy above the most stable polymorph in this dataset, meV/atom: 0
DFT formation energy, meV per atom: -40
VASP energy, eV per atom: -1.894

Cell: 9.6703 9.6703 8.3945 Å, 111.07 117.49 106.70°
Last column: nearest neighbours and their distance in Å.
Fractional positions:
Rb  0.2738  0.4952  0.7690  1 Sn 3.73, 1 Tl 3.88
Tl  0.7298  0.8827  0.6125  2 Sn 3.07-3.13
Tl  0.2702  0.1173  0.3875  2 Sn 3.07-3.13
Rb  0.1653  0.4159  0.1826  2 Sn 3.93-4.03, 3 Tl 4.00-4.38, 2 Rb 4.24-4.31
Sn  0.6052  0.1323  0.7376  1 Sn 2.96, 2 Tl 3.07-3.13
Rb  0.7262  0.5048  0.2310  1 Sn 3.73, 1 Tl 3.88
Rb  0.8347  0.5841  0.8174  2 Sn 3.93-4.03, 3 Tl 4.00-4.38, 2 Rb 4.24-4.31
Sn  0.3948  0.8677  0.2624  1 Sn 2.96, 2 Tl 3.07-3.13
Rb  0.2332  0.9827  0.8174  2 Sn 3.93-4.03, 3 Tl 4.00-4.38, 2 Rb 4.24-4.31
Rb  0.7668  0.0173  0.1826  2 Sn 3.93-4.03, 3 Tl 4.00-4.38, 2 Rb 4.24-4.31



No. 5
Density functional theory data (PBE) for a relaxed Rb2Tl5Sn crystal.

Properties
Energy above the most stable polymorph in this dataset, meV/atom: 0
DFT formation energy, meV per atom: -75
VASP energy, eV per atom: -2.297

Cell: 5.7020 5.7019 9.5586 Å, 107.35 107.35 90.00°
Last column: nearest neighbours and their distance in Å.
Fractional positions:
Tl  0.8999  0.3999  0.7999  2 Sn 3.34, 3 Tl 3.34-3.47
Tl  0.6001  0.1001  0.2001  2 Sn 3.34, 3 Tl 3.34-3.47
Sn  0.0000  0.0000  0.0000  8 Tl 3.34
Rb  0.7541  0.7541  0.5082  8 Tl 3.81-3.91, 4 Rb 4.03, 1 Sn 4.26
Tl  0.3999  0.8999  0.7999  2 Sn 3.34, 3 Tl 3.34-3.47
Tl  0.1001  0.6001  0.2001  2 Sn 3.34, 3 Tl 3.34-3.47
Tl  0.5000  0.5000  0.0000  8 Tl 3.34
Rb  0.2459  0.2459  0.4918  8 Tl 3.81-3.91, 4 Rb 4.03, 1 Sn 4.26



No. 6
Density functional theory data (PBE) for a relaxed RbTlSn crystal.

Properties
DFT formation energy, meV per atom: -154
VASP energy, eV per atom: -2.600

Cell: 5.4748 9.0651 6.8772 Å, 48.77 66.54 90.00°
Last column: nearest neighbours and their distance in Å.
Fractional positions:
Sn  0.5219  0.6871  0.9562  1 Sn 2.99, 3 Tl 3.15-3.17
Sn  0.5219  0.3567  0.9562  1 Sn 2.99, 3 Tl 3.15-3.17
Tl  0.8388  0.5097  0.3225  1 Tl 3.10, 3 Sn 3.15-3.17
Rb  0.1114  0.1114  0.7772  6 Tl 3.73-3.82, 6 Sn 3.90-4.16, 2 Rb 4.15
Tl  0.8388  0.1678  0.3225  1 Tl 3.10, 3 Sn 3.15-3.17
Rb  0.2564  0.7564  0.4872  6 Sn 3.74-3.83, 6 Tl 3.98-4.11, 2 Rb 4.15



No. 7
Density functional theory data (PBE) for a relaxed Rb2Tl2Sn crystal.

Properties
Energy above the most stable polymorph in this dataset, meV/atom: 69
DFT formation energy, meV per atom: -54
VASP energy, eV per atom: -2.188

Cell: 8.1947 8.1947 6.1102 Å, 90.00 90.00 90.00°
Last column: nearest neighbours and their distance in Å.
Fractional positions:
Rb  0.8184  0.3184  0.5000  6 Tl 3.72-4.03
Tl  0.3642  0.8642  0.0000  1 Tl 3.15, 2 Sn 3.19
Rb  0.3184  0.1816  0.5000  6 Tl 3.72-4.03
Tl  0.8642  0.6358  0.0000  1 Tl 3.15, 2 Sn 3.19
Tl  0.6358  0.1358  0.0000  1 Tl 3.15, 2 Sn 3.19
Sn  0.0000  0.0000  0.0000  4 Tl 3.19
Rb  0.1816  0.6816  0.5000  6 Tl 3.72-4.03
Tl  0.1358  0.3642  0.0000  1 Tl 3.15, 2 Sn 3.19
Sn  0.5000  0.5000  0.0000  4 Tl 3.19
Rb  0.6816  0.8184  0.5000  6 Tl 3.72-4.03



No. 8
Density functional theory data (PBE) for a relaxed RbTlSn crystal.

Properties
DFT formation energy, meV per atom: -102
VASP energy, eV per atom: -2.547

Cell: 5.1700 5.4906 8.0334 Å, 69.68 90.00 90.00°
Last column: nearest neighbours and their distance in Å.
Fractional positions:
Tl  0.1288  0.1058  0.4881  4 Sn 3.31-3.56, 2 Tl 3.39-3.40
Sn  0.6285  0.5649  0.4576  2 Sn 3.13, 2 Tl 3.31-3.43
Sn  0.1284  0.7518  0.2282  2 Sn 3.13, 2 Tl 3.31-3.43
Tl  0.6289  0.2107  0.1976  4 Sn 3.31-3.56, 2 Tl 3.39-3.40
Rb  0.1287  0.4220  0.8301  4 Rb 3.72-3.83, 4 Tl 3.72-3.81, 3 Sn 3.82-3.95
Rb  0.6286  0.8948  0.8556  4 Rb 3.72-3.83, 4 Tl 3.72-3.81, 3 Sn 3.82-3.95



No. 9
Density functional theory data (PBE) for a relaxed RbTl3Sn3 crystal.

Properties
Energy above the most stable polymorph in this dataset, meV/atom: 0
DFT formation energy, meV per atom: -40
VASP energy, eV per atom: -2.908

Cell: 5.9927 9.6732 9.6732 Å, 120.00 90.00 90.00°
Last column: nearest neighbours and their distance in Å.
Fractional positions:
Sn  0.2500  0.8395  0.7909  4 Tl 3.15-3.50, 6 Sn 3.18-3.51
Sn  0.7500  0.1605  0.2091  4 Tl 3.15-3.50, 6 Sn 3.18-3.51
Rb  0.7500  0.3333  0.6667  9 Tl 3.81-3.84, 3 Sn 3.87
Tl  0.2500  0.0985  0.6820  4 Sn 3.15-3.50
Tl  0.7500  0.6820  0.5836  4 Sn 3.15-3.50
Tl  0.2500  0.3180  0.4164  4 Sn 3.15-3.50
Tl  0.7500  0.4164  0.0985  4 Sn 3.15-3.50
Sn  0.2500  0.9514  0.1605  4 Tl 3.15-3.50, 6 Sn 3.18-3.51
Sn  0.7500  0.7909  0.9514  4 Tl 3.15-3.50, 6 Sn 3.18-3.51
Sn  0.2500  0.2091  0.0486  4 Tl 3.15-3.50, 6 Sn 3.18-3.51
Sn  0.7500  0.0486  0.8395  4 Tl 3.15-3.50, 6 Sn 3.18-3.51
Tl  0.2500  0.5836  0.9015  4 Sn 3.15-3.50
Tl  0.7500  0.9015  0.3180  4 Sn 3.15-3.50
Rb  0.2500  0.6667  0.3333  9 Tl 3.81-3.84, 3 Sn 3.87



No. 10
Density functional theory data (PBE) for a relaxed RbTl4Sn crystal.

Properties
Energy above the most stable polymorph in this dataset, meV/atom: 77
DFT formation energy, meV per atom: 23
VASP energy, eV per atom: -2.383

Cell: 6.6381 6.6381 6.6381 Å, 60.00 60.00 60.00°
Last column: nearest neighbours and their distance in Å.
Fractional positions:
Sn  0.0000  0.0000  0.0000  12 Tl 3.89, 4 Rb 4.06
Tl  0.6259  0.6259  0.1222  6 Tl 3.29-3.34
Tl  0.1222  0.6259  0.6259  6 Tl 3.29-3.34
Rb  0.2500  0.2500  0.2500  12 Tl 3.89, 4 Sn 4.06
Tl  0.6259  0.6259  0.6259  6 Tl 3.29-3.34
Tl  0.6259  0.1222  0.6259  6 Tl 3.29-3.34



What is the formula in the tenth record? RbTl4Sn